Below is Na2Mo15Se19 after structural relaxation, with properties calculated at the GGA-PBEsol level.

Cell and atoms, written as POSCAR:
```
Na2Mo15Se19
1.0
4.742 2.738 19.521
-4.742 2.738 19.521
0.000 -5.476 19.521
Na Mo Se
4 30 38
direct
0.105 0.105 0.105
0.395 0.395 0.395
0.605 0.605 0.605
0.895 0.895 0.895
0.002 0.131 0.809
0.044 0.364 0.226
0.088 0.250 0.412
0.131 0.809 0.002
0.136 0.456 0.274
0.191 0.998 0.869
0.226 0.044 0.364
0.250 0.412 0.088
0.274 0.136 0.456
0.309 0.631 0.502
0.364 0.226 0.044
0.369 0.498 0.691
0.412 0.088 0.250
0.456 0.274 0.136
0.498 0.691 0.369
0.502 0.309 0.631
0.544 0.726 0.864
0.588 0.912 0.750
0.631 0.502 0.309
0.636 0.774 0.956
0.691 0.369 0.498
0.726 0.864 0.544
0.750 0.588 0.912
0.774 0.956 0.636
0.809 0.002 0.131
0.864 0.544 0.726
0.869 0.191 0.998
0.912 0.750 0.588
0.956 0.636 0.774
0.998 0.869 0.191
0.045 0.682 0.418
0.054 0.054 0.054
0.057 0.307 0.684
0.064 0.436 0.750
0.082 0.818 0.455
0.177 0.177 0.177
0.182 0.545 0.918
0.184 0.807 0.557
0.193 0.443 0.816
0.250 0.936 0.564
0.307 0.684 0.057
0.316 0.943 0.693
0.318 0.582 0.955
0.323 0.323 0.323
0.418 0.045 0.682
0.436 0.750 0.064
0.443 0.816 0.193
0.446 0.446 0.446
0.455 0.082 0.818
0.545 0.918 0.182
0.554 0.554 0.554
0.557 0.184 0.807
0.564 0.250 0.936
0.582 0.955 0.318
0.677 0.677 0.677
0.682 0.418 0.045
0.684 0.057 0.307
0.693 0.316 0.943
0.750 0.064 0.436
0.807 0.557 0.184
0.816 0.193 0.443
0.818 0.455 0.082
0.823 0.823 0.823
0.918 0.182 0.545
0.936 0.564 0.250
0.943 0.693 0.316
0.946 0.946 0.946
0.955 0.318 0.582
```

Calculated values
Symmetry ... R-3c
Uncorrected formation energy ... -13.62 kcal/mol of atoms